--- 1 ---
An optimized crystal structure of LaSbCl, computed with PBEsol.

Unit cell a=5.207 b=5.207 c=5.207 alpha=60.00 beta=60.00 gamma=60.00
Element x y z (fractional)
La: 0.000 0.000 0.000
Sb: 0.750 0.750 0.750
Cl: 0.500 0.500 0.500

Values from the calculation:
The calculation puts the total magnetization at 0.4 μB per cell. For the density of states at the Fermi level, the calculation gives 1.93 states/eV/atom.

=====

--- 2 ---
An optimized crystal structure of LaSbCl, computed with PBEsol.

Unit cell a=4.161 b=4.161 c=6.804 alpha=90.00 beta=90.00 gamma=120.00
Element x y z (fractional)
La: 0.000 0.000 0.000
Sb: 0.333 0.667 0.685
Cl: 0.667 0.333 0.228

Values from the calculation:
The calculation puts the total magnetization at 0.0 μB per cell. For the density of states at the Fermi level, the calculation gives 0.75 states/eV/atom.

=====

Of them, 1 has the lowest stability.

=====

--- 1 ---
An optimized crystal structure of LaSc2Cl, computed with PBEsol.

Unit cell a=3.348 b=3.348 c=9.612 alpha=90.00 beta=90.00 gamma=118.90
Element x y z (fractional)
La: 0.000 0.000 0.000
Sc: 0.500 0.500 0.287
Sc: 0.500 0.500 0.713
Cl: 0.000 0.000 0.500

Values from the calculation:
The calculation puts the total magnetization at 0.0 μB per cell. For the density of states at the Fermi level, the calculation gives 1.54 states/eV/atom.

=====

--- 2 ---
An optimized crystal structure of LaSc2Cl, computed with PBEsol.

Unit cell a=3.310 b=6.270 c=6.270 alpha=46.51 beta=90.00 gamma=90.00
Element x y z (fractional)
La: 0.000 0.000 0.000
Sc: 0.000 0.282 0.282
Sc: 0.500 0.700 0.700
Cl: 0.500 0.478 0.478

Values from the calculation:
The calculation puts the total magnetization at 0.0 μB per cell. For the density of states at the Fermi level, the calculation gives 1.23 states/eV/atom.

=====

Of them, 1 has the lowest stability.

=====

--- 1 ---
An optimized crystal structure of LaSiCl2, computed with PBEsol.

Unit cell a=9.990 b=9.990 c=9.990 alpha=153.66 beta=153.66 gamma=37.59
Element x y z (fractional)
La: 0.000 0.000 0.000
La: 0.750 0.250 0.500
Si: 0.250 0.750 0.500
Si: 0.500 0.500 0.000
Cl: 0.128 0.625 0.003
Cl: 0.375 0.378 0.503
Cl: 0.622 0.125 0.997
Cl: 0.875 0.872 0.497

Values from the calculation:
The calculation puts the total magnetization at 0.0 μB per cell. For the density of states at the Fermi level, the calculation gives 0.98 states/eV/atom.

=====

--- 2 ---
An optimized crystal structure of LaSiCl2, computed with PBEsol.

Unit cell a=5.951 b=5.951 c=5.951 alpha=140.06 beta=140.06 gamma=57.76
Element x y z (fractional)
La: 0.000 0.000 0.000
Si: 0.750 0.250 0.500
Cl: 0.250 0.750 0.500
Cl: 0.500 0.500 0.000

Values from the calculation:
The calculation puts the total magnetization at 0.0 μB per cell. For the density of states at the Fermi level, the calculation gives 0.55 states/eV/atom.

=====

--- 3 ---
An optimized crystal structure of LaSiCl2, computed with PBEsol.

Unit cell a=3.634 b=4.445 c=5.407 alpha=90.00 beta=90.00 gamma=90.00
Element x y z (fractional)
La: 0.000 0.000 0.000
Si: 0.500 0.000 0.500
Cl: 0.000 0.500 0.500
Cl: 0.500 0.500 0.000

Values from the calculation:
The calculation puts the total magnetization at 0.0 μB per cell. For the density of states at the Fermi level, the calculation gives 0.36 states/eV/atom.

=====

Of them, 1 has the lowest stability.

=====

--- 1 ---
An optimized crystal structure of LaSiCl2, computed with PBEsol.

Unit cell a=3.357 b=3.357 c=9.986 alpha=90.00 beta=90.00 gamma=90.00
Element x y z (fractional)
La: 0.000 0.000 0.000
Si: 0.000 0.000 0.500
Cl: 0.500 0.500 0.166
Cl: 0.500 0.500 0.834

Values from the calculation:
The calculation puts the total magnetization at 0.0 μB per cell. For the density of states at the Fermi level, the calculation gives 0.63 states/eV/atom.

=====

--- 2 ---
An optimized crystal structure of LaSiCl2, computed with PBEsol.

Unit cell a=4.956 b=4.956 c=4.956 alpha=60.00 beta=60.00 gamma=60.00
Element x y z (fractional)
La: 0.000 0.000 0.000
Si: 0.500 0.500 0.500
Cl: 0.250 0.250 0.250
Cl: 0.750 0.750 0.750

Values from the calculation:
The calculation puts the total magnetization at 0.0 μB per cell. For the density of states at the Fermi level, the calculation gives 0.97 states/eV/atom.

=====

--- 3 ---
An optimized crystal structure of LaSiCl2, computed with PBEsol.

Unit cell a=5.411 b=5.411 c=5.411 alpha=131.49 beta=131.49 gamma=71.04
Element x y z (fractional)
La: 0.000 0.000 0.000
Si: 0.500 0.500 0.000
Cl: 0.250 0.750 0.500
Cl: 0.750 0.250 0.500

Values from the calculation:
The calculation puts the total magnetization at 0.0 μB per cell. For the density of states at the Fermi level, the calculation gives 0.47 states/eV/atom.

=====

Of them, 2 has the lowest stability.

=====

--- 1 ---
An optimized crystal structure of LaSiCl2, computed with PBEsol.

Unit cell a=3.652 b=3.652 c=7.640 alpha=90.00 beta=90.00 gamma=101.57
Element x y z (fractional)
La: 0.000 0.000 0.000
Si: 0.500 0.500 0.248
Cl: 0.000 0.000 0.384
Cl: 0.500 0.500 0.781

Values from the calculation:
The calculation puts the total magnetization at 0.0 μB per cell. For the density of states at the Fermi level, the calculation gives 0.52 states/eV/atom.

=====

--- 2 ---
An optimized crystal structure of LaSiCl2, computed with PBEsol.

Unit cell a=3.672 b=4.587 c=5.647 alpha=90.00 beta=90.00 gamma=90.00
Element x y z (fractional)
La: 0.000 0.000 0.000
Si: 0.500 0.500 0.178
Cl: 0.000 0.000 0.495
Cl: 0.500 0.500 0.770

Values from the calculation:
The calculation puts the total magnetization at 0.0 μB per cell. For the density of states at the Fermi level, the calculation gives 0.42 states/eV/atom.

=====

Of them, 1 has the lowest stability.

=====

--- 1 ---
An optimized crystal structure of LaSi2Cl, computed with PBEsol.

Unit cell a=3.789 b=6.014 c=4.052 alpha=90.00 beta=90.42 gamma=90.00
Element x y z (fractional)
La: 0.000 0.000 0.000
Si: 0.249 0.500 0.820
Si: 0.751 0.500 0.180
Cl: 0.500 0.000 0.500

Values from the calculation:
The calculation puts the total magnetization at 0.0 μB per cell. For the density of states at the Fermi level, the calculation gives 0.60 states/eV/atom.

=====

--- 2 ---
An optimized crystal structure of LaSi2Cl, computed with PBEsol.

Unit cell a=3.829 b=3.829 c=5.696 alpha=90.00 beta=90.00 gamma=90.00
Element x y z (fractional)
La: 0.000 0.000 0.000
Si: 0.000 0.500 0.500
Si: 0.500 0.000 0.500
Cl: 0.500 0.500 0.000

Values from the calculation:
The calculation puts the total magnetization at 0.0 μB per cell. For the density of states at the Fermi level, the calculation gives 0.69 states/eV/atom.

=====

Of them, 1 has the lowest stability.

=====

--- 1 ---
An optimized crystal structure of La2TaCl, computed with PBEsol.

Unit cell a=10.073 b=10.073 c=10.073 alpha=19.43 beta=19.43 gamma=19.43
Element x y z (fractional)
La: 0.248 0.248 0.248
La: 0.752 0.752 0.752
Ta: 0.000 0.000 0.000
Cl: 0.500 0.500 0.500

Values from the calculation:
The calculation puts the total magnetization at 0.0 μB per cell. For the density of states at the Fermi level, the calculation gives 0.83 states/eV/atom.

=====

--- 2 ---
An optimized crystal structure of La2TaCl, computed with PBEsol.

Unit cell a=9.008 b=9.008 c=9.008 alpha=159.10 beta=156.39 gamma=31.73
Element x y z (fractional)
La: 0.000 0.000 0.000
La: 0.758 0.258 0.500
Ta: 0.371 0.871 0.500
Cl: 0.606 0.606 0.000

Values from the calculation:
The calculation puts the total magnetization at 0.0 μB per cell. For the density of states at the Fermi level, the calculation gives 1.17 states/eV/atom.

=====

Of them, 2 has the lowest stability.